4
Lattice="3.029 -0.002 0.000 -1.594 2.576 0.000 0.000 0.000 8.773" Properties=species:S:1:pos:R:3 comment="PBE-GGA InIr2Cl, relaxed" formation_energy_uncorrected_kj_per_mol_atoms=53.59 n_ef_per_ev_fu=5.008 de_polymorph_ev_per_atom=0.382 magmom_total_mub_per_cell=0.0 pbc="T T T"
Cl 0.718 1.287 2.193
Ir 0.000 0.000 0.053
Ir 0.000 0.000 4.334
In 0.718 1.287 6.580